Below is Ag2TeAu at its PBEsol-relaxed geometry, with properties calculated at the SCAN level.

Results
**Density of states at the Fermi level**: 1.1 states/eV/cell
**Size of the total moment**: 0.0 μB/cell
**VASP energy**: -168.72 eV for the cell shown

abc: 3.016 3.016 8.694
angles: 90.00 90.00 90.00
Fractional coordinates of all 4 atoms:
Ag: 0.000 0.000 0.218
Ag: 0.000 0.000 0.782
Te: 0.500 0.500 0.500
Au: 0.500 0.500 0.000